Entry 1:
## Hg2RuBr (PBE-GGA)

Data for an optimized crystal structure of Hg2RuBr.

Output
- E_form (uncorrected) (eV per atom) = 0.872
- relative energy among the computed polymorphs (meV/atom) = 591
- total magnetic moment (μB per formula unit) = 1.00

The structure in CIF format:
```
data_Hg2RuBr
_cell_length_a 4.965
_cell_length_b 4.965
_cell_length_c 4.965
_cell_angle_alpha 60.00
_cell_angle_beta 60.00
_cell_angle_gamma 60.00
_space_group_name_H-M_alt 'P 1'
_space_group_IT_number 1
loop_
_space_group_symop_operation_xyz
'x,y,z'
loop_
_atom_site_label
_atom_site_fract_x
_atom_site_fract_y
_atom_site_fract_z
Hg1 0.750 0.750 0.750
Hg2 0.250 0.250 0.250
Ru1 0.500 0.500 0.500
Br1 0.000 0.000 0.000
```

---

Entry 2:
## HgRuBr (PBE-GGA)

Data for an optimized crystal structure of HgRuBr.

Output
- E_form (uncorrected) (eV per atom) = 0.597
- relative energy among the computed polymorphs (meV/atom) = 118
- total magnetic moment (μB per formula unit) = 0.00

The structure in CIF format:
```
data_HgRuBr
_cell_length_a 7.745
_cell_length_b 7.361
_cell_length_c 3.285
_cell_angle_alpha 84.08
_cell_angle_beta 70.97
_cell_angle_gamma 24.95
_space_group_name_H-M_alt 'P 1'
_space_group_IT_number 1
loop_
_space_group_symop_operation_xyz
'x,y,z'
loop_
_atom_site_label
_atom_site_fract_x
_atom_site_fract_y
_atom_site_fract_z
Hg1 0.315 0.315 0.685
Br1 0.027 0.027 0.973
Ru1 0.658 0.658 0.342
```

---

Entry 3:
## HgRu2Br (PBE-GGA)

Data for an optimized crystal structure of HgRu2Br.

Output
- E_form (uncorrected) (eV per atom) = 0.492
- relative energy among the computed polymorphs (meV/atom) = 119
- total magnetic moment (μB per formula unit) = 0.00

The structure in CIF format:
```
data_HgRu2Br
_cell_length_a 10.540
_cell_length_b 10.540
_cell_length_c 10.540
_cell_angle_alpha 16.01
_cell_angle_beta 16.01
_cell_angle_gamma 16.01
_space_group_name_H-M_alt 'P 1'
_space_group_IT_number 1
loop_
_space_group_symop_operation_xyz
'x,y,z'
loop_
_atom_site_label
_atom_site_fract_x
_atom_site_fract_y
_atom_site_fract_z
Hg1 0.267 0.267 0.267
Ru1 0.013 0.013 0.013
Ru2 0.742 0.742 0.742
Br1 0.478 0.478 0.478
```

---

Entry 4:
## Hg2RuBr (PBE-GGA)

Data for an optimized crystal structure of Hg2RuBr.

Output
- E_form (uncorrected) (eV per atom) = 0.284
- relative energy among the computed polymorphs (meV/atom) = 3
- total magnetic moment (μB per formula unit) = 0.00

The structure in CIF format:
```
data_Hg2RuBr
_cell_length_a 7.230
_cell_length_b 7.230
_cell_length_c 7.230
_cell_angle_alpha 155.48
_cell_angle_beta 141.34
_cell_angle_gamma 46.31
_space_group_name_H-M_alt 'P 1'
_space_group_IT_number 1
loop_
_space_group_symop_operation_xyz
'x,y,z'
loop_
_atom_site_label
_atom_site_fract_x
_atom_site_fract_y
_atom_site_fract_z
Ru1 0.487 0.487 0.000
Hg1 0.010 0.010 0.000
Hg2 0.666 0.166 0.500
Br1 0.337 0.837 0.500
```

---

Entry 5:
## HgRu2Br2 (PBE-GGA)

Data for an optimized crystal structure of HgRu2Br2.

Output
- E_form (uncorrected) (eV per atom) = 1.026
- relative energy among the computed polymorphs (meV/atom) = 469
- total magnetic moment (μB per formula unit) = 1.80

The structure in CIF format:
```
data_HgRu2Br2
_cell_length_a 8.088
_cell_length_b 8.088
_cell_length_c 3.020
_cell_angle_alpha 90.00
_cell_angle_beta 90.00
_cell_angle_gamma 90.00
_space_group_name_H-M_alt 'P 1'
_space_group_IT_number 1
loop_
_space_group_symop_operation_xyz
'x,y,z'
loop_
_atom_site_label
_atom_site_fract_x
_atom_site_fract_y
_atom_site_fract_z
Hg1 0.500 0.500 0.000
Hg2 0.000 0.000 0.000
Ru1 0.195 0.695 0.500
Ru2 0.805 0.305 0.500
Ru3 0.305 0.195 0.500
Ru4 0.695 0.805 0.500
Br1 0.632 0.132 0.000
Br2 0.868 0.632 0.000
Br3 0.132 0.368 0.000
Br4 0.368 0.868 0.000
```

---

Entry 6:
## HgRu3Br (PBE-GGA)

Data for an optimized crystal structure of HgRu3Br.

Output
- E_form (uncorrected) (eV per atom) = 1.434
- relative energy among the computed polymorphs (meV/atom) = 0
- total magnetic moment (μB per formula unit) = 0.25

The structure in CIF format:
```
data_HgRu3Br
_cell_length_a 4.568
_cell_length_b 4.568
_cell_length_c 4.568
_cell_angle_alpha 90.00
_cell_angle_beta 90.00
_cell_angle_gamma 90.00
_space_group_name_H-M_alt 'P 1'
_space_group_IT_number 1
loop_
_space_group_symop_operation_xyz
'x,y,z'
loop_
_atom_site_label
_atom_site_fract_x
_atom_site_fract_y
_atom_site_fract_z
Br1 0.000 0.000 0.000
Ru1 0.000 0.500 0.000
Ru2 0.000 0.000 0.500
Ru3 0.500 0.000 0.000
Hg1 0.500 0.500 0.500
```